Material: DyPuSb2
Method: DFT, PBE
State: relaxed

- M_tot: 1.26 μB/atom
- Calculated total energy: -0.5625 Ry per atom
- DOS at the Fermi energy: 3.357 states/eV per atom

Unit cell a=6.2240 b=6.2240 c=7.6286 alpha=65.90 beta=65.90 gamma=90.00
With the nearest neighbours (Å) after each atom.
Fractional positions:
Dy (0.6251, 0.8749, 0.7500)  6 Sb 3.11-3.12
Pu (0.1253, 0.3747, 0.7500)  6 Sb 3.11
Pu (0.8747, 0.6253, 0.2500)  6 Sb 3.11
Dy (0.3749, 0.1251, 0.2500)  6 Sb 3.11-3.12
Sb (0.1245, 0.8742, 0.7510)  3 Pu 3.11, 3 Dy 3.11-3.12
Sb (0.6258, 0.3755, 0.7490)  3 Pu 3.11, 3 Dy 3.11-3.12
Sb (0.8755, 0.1258, 0.2490)  3 Pu 3.11, 3 Dy 3.11-3.12
Sb (0.3742, 0.6245, 0.2510)  3 Pu 3.11, 3 Dy 3.11-3.12

=====

Material: Li2NbCo2
Method: DFT, PBE
State: relaxed

- M_tot: 0.00 μB/atom
- Calculated total energy: -0.3955 Ry per atom
- DOS at the Fermi energy: 0.792 states/eV per atom
- Calculated formation energy: 0.24 eV/atom

Unit cell a=3.1750 b=3.1750 c=6.9517 alpha=76.80 beta=76.80 gamma=90.00
With the nearest neighbours (Å) after each atom.
Fractional positions:
Co (0.4039, 0.4039, 0.1922)  1 Co 2.53, 4 Li 2.57, 4 Nb 2.58
Nb (0.0000, 0.0000, 0.0000)  8 Co 2.58
Li (0.7500, 0.2500, 0.5000)  4 Li 2.25
Co (0.5961, 0.5961, 0.8078)  1 Co 2.53, 4 Li 2.57, 4 Nb 2.58
Li (0.2500, 0.7500, 0.5000)  4 Li 2.25

=====

Material: SmErTm4
Method: DFT, PBE
State: relaxed

- M_tot: 0.00 μB/atom
- Calculated total energy: -0.2852 Ry per atom
- DOS at the Fermi energy: 1.965 states/eV per atom
- Calculated formation energy: 0.65 eV/atom

Unit cell a=4.4686 b=4.4686 c=10.9263 alpha=90.00 beta=90.00 gamma=89.99
With the nearest neighbours (Å) after each atom.
Fractional positions:
Tm (0.5000, 0.0000, 0.2533)  4 Tm 3.16, 2 Er 3.50
Tm (0.0000, 0.5000, 0.2533)  4 Tm 3.16, 2 Er 3.50
Er (0.5000, 0.5000, 0.5000)  8 Tm 3.50
Tm (0.5000, 0.0000, 0.7467)  4 Tm 3.16, 2 Er 3.50
Tm (0.0000, 0.5000, 0.7467)  4 Tm 3.16, 2 Er 3.50
Sm (0.0000, 0.0000, 0.0000)  8 Tm 3.56

=====

Material: SmDy2Tm7
Method: DFT, PBE
State: relaxed

- M_tot: 0.00 μB/atom
- Calculated total energy: -0.2797 Ry per atom
- DOS at the Fermi energy: 1.477 states/eV per atom
- Calculated formation energy: 0.72 eV/atom

Unit cell a=5.2955 b=9.3742 c=9.3742 alpha=125.03 beta=90.00 gamma=90.00
With the nearest neighbours (Å) after each atom.
Fractional positions:
Dy (0.5000, 0.7009, 0.2991)  7 Tm 3.10-3.47
Tm (0.5000, 0.9349, 0.7105)  4 Tm 3.07-3.40, 1 Dy 3.16
Tm (0.5000, 0.2895, 0.0651)  4 Tm 3.07-3.40, 1 Dy 3.16
Tm (0.0000, 0.2018, 0.7982)  2 Dy 3.10, 1 Sm 3.36, 4 Tm 3.40
Tm (0.5000, 0.0651, 0.2895)  4 Tm 3.07-3.40, 1 Dy 3.16
Tm (0.5000, 0.5000, 0.5000)  2 Dy 3.34, 4 Tm 3.36
Dy (0.5000, 0.2991, 0.7009)  7 Tm 3.10-3.47
Tm (0.0000, 0.7982, 0.2018)  2 Dy 3.10, 1 Sm 3.36, 4 Tm 3.40
Tm (0.5000, 0.7105, 0.9349)  4 Tm 3.07-3.40, 1 Dy 3.16
Sm (0.0000, 0.0000, 0.0000)  10 Tm 3.36-3.58

=====

Material: SrCoSb3
Method: DFT, PBE
State: relaxed

- M_tot: 0.26 μB/atom
- Calculated total energy: -0.3197 Ry per atom
- DOS at the Fermi energy: 1.135 states/eV per atom

Unit cell a=5.1384 b=5.1384 c=5.1384 alpha=90.00 beta=90.00 gamma=90.00
With the nearest neighbours (Å) after each atom.
Fractional positions:
Co (0.0000, 0.0000, 0.0000)  6 Sb 2.57
Sb (0.5000, 0.0000, 0.0000)  2 Co 2.57
Sb (0.0000, 0.5000, 0.0000)  2 Co 2.57
Sb (0.0000, 0.0000, 0.5000)  2 Co 2.57
Sr (0.5000, 0.5000, 0.5000)  12 Sb 3.63

=====

Material: Al2IrSe
Method: DFT, PBE
State: relaxed

- M_tot: 0.00 μB/atom
- Calculated total energy: -0.3585 Ry per atom
- DOS at the Fermi energy: 0.418 states/eV per atom

Unit cell a=3.1363 b=4.8804 c=4.2665 alpha=90.00 beta=90.00 gamma=90.00
With the nearest neighbours (Å) after each atom.
Fractional positions:
Al (0.5000, 0.5000, 0.0000)  4 Se 2.65, 4 Al 2.90
Se (0.0000, 0.5000, 0.5000)  4 Al 2.65, 4 Ir 2.90
Ir (0.5000, 0.0000, 0.5000)  4 Al 2.65, 4 Se 2.90
Al (0.0000, 0.0000, 0.0000)  4 Ir 2.65, 4 Al 2.90

=====

Material: LaCePuIn
Method: DFT, PBE
State: relaxed

- M_tot: 2.28 μB/atom
- Calculated total energy: -0.5174 Ry per atom
- DOS at the Fermi energy: 2.054 states/eV per atom
- Calculated formation energy: -0.06 eV/atom

Unit cell a=5.4556 b=5.4556 c=5.4556 alpha=60.00 beta=60.00 gamma=60.00
With the nearest neighbours (Å) after each atom.
Fractional positions:
Ce (0.7500, 0.7500, 0.7500)  4 La 3.34, 4 Pu 3.34
La (0.5000, 0.5000, 0.5000)  4 Ce 3.34, 4 In 3.34
In (0.2500, 0.2500, 0.2500)  4 La 3.34, 4 Pu 3.34
Pu (0.0000, 0.0000, 0.0000)  4 In 3.34, 4 Ce 3.34

=====

Material: Mg5In2Pb5
Method: DFT, PBE
State: relaxed

- M_tot: 0.00 μB/atom
- Calculated total energy: -0.1964 Ry per atom
- DOS at the Fermi energy: 0.296 states/eV per atom
- Calculated formation energy: -0.01 eV/atom

Unit cell a=5.3542 b=8.1729 c=8.7820 alpha=65.28 beta=72.25 gamma=70.88
With the nearest neighbours (Å) after each atom.
Fractional positions:
In (0.8460, 0.5019, 0.8061)  5 Mg 3.11-3.33, 3 Pb 3.28-3.35
Pb (0.6754, 0.0073, 0.6419)  6 Mg 3.21-3.35, 3 Pb 3.34-3.59
Mg (0.2439, 0.7363, 0.7758)  3 In 3.19-3.33, 1 Mg 3.22, 5 Pb 3.34-3.55
Mg (0.7561, 0.2637, 0.2242)  3 In 3.19-3.33, 1 Mg 3.22, 5 Pb 3.34-3.55
Pb (0.5000, 0.5000, 0.5000)  6 Mg 3.23-3.41, 4 Pb 3.51-3.56
Pb (0.5931, 0.7545, 0.0593)  3 Mg 3.22-3.55, 3 In 3.28-3.35, 4 Pb 3.34-3.59
Pb (0.4069, 0.2455, 0.9407)  3 Mg 3.22-3.55, 3 In 3.28-3.35, 4 Pb 3.34-3.59
Mg (0.0000, 0.0000, 0.0000)  4 Pb 3.22, 4 Mg 3.22-3.31
Pb (0.3246, 0.9927, 0.3581)  6 Mg 3.21-3.35, 3 Pb 3.34-3.59
In (0.1540, 0.4981, 0.1939)  5 Mg 3.11-3.33, 3 Pb 3.28-3.35
Mg (0.9186, 0.7498, 0.4129)  2 In 3.11-3.17, 5 Pb 3.21-3.23, 1 Mg 3.31
Mg (0.0814, 0.2502, 0.5871)  2 In 3.11-3.17, 5 Pb 3.21-3.23, 1 Mg 3.31